The following is a GGA+U calculation of an optimized crystal structure of Dy3MoO7, from Alexandria via LeMat-Bulk.

The value obtained for the total magnetization is 0.091 μB/atom. The calculated density comes out at 7.8 g/cm3. For the total energy, the calculation gives -0.29709 Ha/atom.

```
data_Dy3MoO7
_chemical_formula_sum 'Dy12 Mo4 O28'
_cell_length_a 7.546
_cell_length_b 10.527
_cell_length_c 7.465
_cell_angle_alpha 90.00
_cell_angle_beta 90.00
_cell_angle_gamma 90.00
_space_group_name_H-M_alt 'C 2 2 21'
_space_group_IT_number 20
_space_group_name_Hall 'C 2c 2'
loop_
_atom_site_label
_atom_site_type_symbol
_atom_site_fract_x
_atom_site_fract_y
_atom_site_fract_z
_atom_site_occupancy
Dy1 Dy 0.032 0.000 0.000 1
Dy2 Dy 0.232 0.268 0.756 1
Mo1 Mo 0.001 0.500 0.000 1
O1 O 0.000 0.131 0.250 1
O2 O 0.000 0.137 0.750 1
O3 O 0.000 0.425 0.750 1
O4 O 0.185 0.373 0.038 1
O5 O 0.205 0.378 0.474 1
```